1.
A plane-wave DFT calculation with PBE was carried out for crystalline Nd3Sm7 at its relaxed geometry.

Results
Energy of formation from the pure elements (eV/atom): 0.17
M_tot (μB per formula unit): 0.00
N(E_F) (states/eV per atom): 1.8115
Symmetry: No. 186
DFT total energy (eV/atom): -4.5615

a = 11.0682 Å, b = 11.0682 Å, c = 6.4937 Å
α = 90.00°, β = 90.00°, γ = 120.00°
Element x y z (fractional)
Nd  0.2088  0.4177  0.0000
Nd  0.2088  0.7912  0.0000
Nd  0.4177  0.2088  0.5000
Nd  0.5823  0.7912  0.0000
Nd  0.7912  0.2088  0.5000
Nd  0.7912  0.5823  0.5000
Sm  0.0582  0.5291  0.3663
Sm  0.1177  0.2354  0.5183
Sm  0.1177  0.8823  0.5183
Sm  0.2354  0.1177  0.0183
Sm  0.3333  0.6667  0.6319
Sm  0.4709  0.5291  0.3663
Sm  0.4709  0.9418  0.3663
Sm  0.5291  0.0582  0.8663
Sm  0.5291  0.4709  0.8663
Sm  0.6667  0.3333  0.1319
Sm  0.7646  0.8823  0.5183
Sm  0.8823  0.1177  0.0183
Sm  0.8823  0.7646  0.0183
Sm  0.9418  0.4709  0.8663

2.
A plane-wave DFT calculation with PBE was carried out for crystalline Nd2Sm5 at its relaxed geometry.

Results
Energy of formation from the pure elements (eV/atom): 0.11
M_tot (μB per formula unit): 0.00
N(E_F) (states/eV per atom): 2.0688
Symmetry: No. 12
DFT total energy (eV/atom): -4.6245

a = 5.6773 Å, b = 5.6773 Å, c = 9.2732 Å
α = 113.12°, β = 113.12°, γ = 64.45°
Element x y z (fractional)
Nd  0.2139  0.2139  0.1433
Nd  0.7861  0.7861  0.8567
Sm  0.0707  0.0707  0.7123
Sm  0.3583  0.3583  0.5730
Sm  0.5000  0.5000  0.0000
Sm  0.6417  0.6417  0.4270
Sm  0.9293  0.9293  0.2877

3.
A plane-wave DFT calculation with PBE was carried out for crystalline Nd7Sm5 at its relaxed geometry.

Results
Energy of formation from the pure elements (eV/atom): 0.16
M_tot (μB per formula unit): 0.00
N(E_F) (states/eV per atom): 1.6117
Symmetry: No. 12
DFT total energy (eV/atom): -4.5894

a = 5.7156 Å, b = 5.7156 Å, c = 14.9204 Å
α = 102.29°, β = 102.29°, γ = 62.71°
Element x y z (fractional)
Nd  0.0000  0.0000  0.0000
Nd  0.1780  0.1780  0.5837
Nd  0.2544  0.2544  0.8287
Nd  0.4647  0.4647  0.2865
Nd  0.5353  0.5353  0.7135
Nd  0.7456  0.7456  0.1713
Nd  0.8220  0.8220  0.4163
Sm  0.1267  0.1267  0.2995
Sm  0.3659  0.3659  0.0619
Sm  0.5000  0.5000  0.5000
Sm  0.6341  0.6341  0.9381
Sm  0.8733  0.8733  0.7005

4.
A plane-wave DFT calculation with PBE was carried out for crystalline Nd5Sm6 at its relaxed geometry.

Results
Energy of formation from the pure elements (eV/atom): 0.13
M_tot (μB per formula unit): 0.00
N(E_F) (states/eV per atom): 1.2002
Symmetry: No. 12
DFT total energy (eV/atom): -4.6102

a = 8.1652 Å, b = 8.1652 Å, c = 6.4928 Å
α = 100.43°, β = 100.43°, γ = 110.23°
Element x y z (fractional)
Nd  0.0000  0.0000  0.0000
Nd  0.1293  0.8707  0.5000
Nd  0.2605  0.7395  0.0000
Nd  0.7395  0.2605  0.0000
Nd  0.8707  0.1293  0.5000
Sm  0.1911  0.4537  0.3303
Sm  0.3315  0.3315  0.8162
Sm  0.4537  0.1911  0.3303
Sm  0.5463  0.8089  0.6697
Sm  0.6685  0.6685  0.1838
Sm  0.8089  0.5463  0.6697

5.
A plane-wave DFT calculation with PBE was carried out for crystalline Nd6Sm7 at its relaxed geometry.

Results
Energy of formation from the pure elements (eV/atom): 0.24
M_tot (μB per formula unit): 3.98
N(E_F) (states/eV per atom): 2.1685
Symmetry: No. 166
DFT total energy (eV/atom): -4.5017

a = 12.2999 Å, b = 12.2999 Å, c = 12.2999 Å
α = 31.72°, β = 31.72°, γ = 31.72°
Element x y z (fractional)
Nd  0.0468  0.0468  0.0468
Nd  0.1503  0.1503  0.1503
Nd  0.3348  0.3348  0.3348
Nd  0.6652  0.6652  0.6652
Nd  0.8497  0.8497  0.8497
Nd  0.9532  0.9532  0.9532
Sm  0.0788  0.5895  0.5895
Sm  0.4105  0.4105  0.9212
Sm  0.4105  0.9212  0.4105
Sm  0.5000  0.5000  0.5000
Sm  0.5895  0.0788  0.5895
Sm  0.5895  0.5895  0.0788
Sm  0.9212  0.4105  0.4105

6.
A plane-wave DFT calculation with PBE was carried out for crystalline Nd13Sm3 at its relaxed geometry.

Results
Energy of formation from the pure elements (eV/atom): 0.03
M_tot (μB per formula unit): 0.00
N(E_F) (states/eV per atom): 1.7129
Symmetry: No. 38
DFT total energy (eV/atom): -4.7274

a = 7.3997 Å, b = 8.7424 Å, c = 8.7424 Å
α = 85.84°, β = 90.00°, γ = 90.00°
Element x y z (fractional)
Nd  0.0000  0.9998  0.9998
Nd  0.0000  0.4153  0.9174
Nd  0.0000  0.4989  0.4989
Nd  0.0000  0.9174  0.4153
Nd  0.2504  0.1673  0.6653
Nd  0.2504  0.6653  0.1673
Nd  0.2502  0.7491  0.7491
Nd  0.5000  0.0000  0.0000
Nd  0.5000  0.4156  0.9169
Nd  0.5000  0.9169  0.4156
Nd  0.7496  0.1673  0.6653
Nd  0.7496  0.6653  0.1673
Nd  0.7498  0.7491  0.7491
Sm  0.2502  0.2499  0.2499
Sm  0.5000  0.4989  0.4989
Sm  0.7498  0.2499  0.2499

7.
A plane-wave DFT calculation with PBE was carried out for crystalline Nd4Sm at its relaxed geometry.

Results
Energy of formation from the pure elements (eV/atom): 0.61
M_tot (μB per formula unit): 0.49
N(E_F) (states/eV per atom): 1.8996
Symmetry: No. 221
DFT total energy (eV/atom): -4.1530

a = 5.8543 Å, b = 5.8543 Å, c = 5.8543 Å
α = 90.00°, β = 90.00°, γ = 90.00°
Element x y z (fractional)
Nd  0.0000  0.0000  0.0000
Nd  0.0000  0.5000  0.5000
Nd  0.5000  0.0000  0.5000
Nd  0.5000  0.5000  0.0000
Sm  0.5000  0.5000  0.5000

8.
A plane-wave DFT calculation with PBE was carried out for crystalline Nd3Sm13 at its relaxed geometry.

Results
Energy of formation from the pure elements (eV/atom): 0.03
M_tot (μB per formula unit): 0.00
N(E_F) (states/eV per atom): 1.7259
Symmetry: No. 38
DFT total energy (eV/atom): -4.6987

a = 7.3600 Å, b = 8.6568 Å, c = 8.6568 Å
α = 85.32°, β = 90.00°, γ = 90.00°
Element x y z (fractional)
Nd  0.0000  0.0000  0.0000
Nd  0.2504  0.7488  0.7488
Nd  0.7496  0.7488  0.7488
Sm  0.0000  0.4158  0.9168
Sm  0.0000  0.4988  0.4988
Sm  0.0000  0.9168  0.4158
Sm  0.2504  0.1671  0.6654
Sm  0.2501  0.2498  0.2498
Sm  0.2504  0.6654  0.1671
Sm  0.5000  0.9999  0.9999
Sm  0.5000  0.4150  0.9173
Sm  0.5000  0.4988  0.4988
Sm  0.5000  0.9173  0.4150
Sm  0.7496  0.1671  0.6654
Sm  0.7499  0.2498  0.2498
Sm  0.7496  0.6654  0.1671

9.
A plane-wave DFT calculation with PBE was carried out for crystalline Nd4Sm5 at its relaxed geometry.

Results
Energy of formation from the pure elements (eV/atom): 0.01
M_tot (μB per formula unit): 0.00
N(E_F) (states/eV per atom): 1.5529
Symmetry: No. 139
DFT total energy (eV/atom): -4.7270

a = 8.1666 Å, b = 8.1666 Å, c = 8.1666 Å
α = 95.74°, β = 95.74°, γ = 143.12°
Element x y z (fractional)
Nd  0.0000  0.3323  0.3323
Nd  0.0000  0.6677  0.6677
Nd  0.3323  0.0000  0.3323
Nd  0.6677  0.0000  0.6677
Sm  0.0000  0.0000  0.0000
Sm  0.3336  0.3336  0.6672
Sm  0.3336  0.6664  0.0000
Sm  0.6664  0.3336  0.0000
Sm  0.6664  0.6664  0.3328

10.
A plane-wave DFT calculation with PBE was carried out for crystalline Nd3Sm at its relaxed geometry.

Results
Energy of formation from the pure elements (eV/atom): 0.03
M_tot (μB per formula unit): 0.00
N(E_F) (states/eV per atom): 1.7843
Symmetry: No. 25
DFT total energy (eV/atom): -4.7224

a = 3.6922 Å, b = 5.9532 Å, c = 6.4026 Å
α = 90.00°, β = 90.00°, γ = 90.00°
Element x y z (fractional)
Nd  0.0000  0.0000  0.0000
Nd  0.0000  0.5000  0.3321
Nd  0.5000  0.5000  0.8323
Sm  0.5000  0.0000  0.5004

11.
A plane-wave DFT calculation with PBE was carried out for crystalline Nd2Sm7 at its relaxed geometry.

Results
Energy of formation from the pure elements (eV/atom): 0.01
M_tot (μB per formula unit): 0.00
N(E_F) (states/eV per atom): 1.3155
Symmetry: No. 162
DFT total energy (eV/atom): -4.7167

a = 6.3100 Å, b = 6.3100 Å, c = 8.8947 Å
α = 90.00°, β = 90.00°, γ = 120.00°
Element x y z (fractional)
Nd  0.3333  0.6667  0.0000
Nd  0.6667  0.3333  0.0000
Sm  0.0000  0.0000  0.0000
Sm  0.0000  0.3330  0.6656
Sm  0.0000  0.6670  0.3344
Sm  0.3330  0.0000  0.6656
Sm  0.3330  0.3330  0.3344
Sm  0.6670  0.0000  0.3344
Sm  0.6670  0.6670  0.6656

12.
A plane-wave DFT calculation with PBE was carried out for crystalline Nd13Sm2 at its relaxed geometry.

Results
Energy of formation from the pure elements (eV/atom): 0.05
M_tot (μB per formula unit): 0.00
N(E_F) (states/eV per atom): 1.5130
Symmetry: No. 2
DFT total energy (eV/atom): -4.7077

a = 6.8193 Å, b = 9.1961 Å, c = 9.1968 Å
α = 66.61°, β = 82.40°, γ = 82.41°
Element x y z (fractional)
Nd  0.0000  0.0000  0.0000
Nd  0.1004  0.7658  0.4346
Nd  0.1981  0.2026  0.1982
Nd  0.2992  0.9689  0.6316
Nd  0.3016  0.6348  0.9651
Nd  0.3990  0.4017  0.3992
Nd  0.4988  0.8338  0.1676
Nd  0.5012  0.1662  0.8324
Nd  0.6010  0.5983  0.6008
Nd  0.6984  0.3652  0.0349
Nd  0.7008  0.0311  0.3684
Nd  0.8019  0.7974  0.8018
Nd  0.8996  0.2342  0.5654
Sm  0.0995  0.4317  0.7679
Sm  0.9005  0.5683  0.2321

13.
A plane-wave DFT calculation with PBE was carried out for crystalline Nd3Sm2 at its relaxed geometry.

Results
Energy of formation from the pure elements (eV/atom): 0.01
M_tot (μB per formula unit): 0.00
N(E_F) (states/eV per atom): 1.6348
Symmetry: No. 12
DFT total energy (eV/atom): -4.7337

a = 6.3364 Å, b = 6.3364 Å, c = 8.1819 Å
α = 130.10°, β = 130.10°, γ = 48.27°
Element x y z (fractional)
Nd  0.0000  0.0000  0.0000
Nd  0.2000  0.2000  0.6007
Nd  0.8000  0.8000  0.3993
Sm  0.3995  0.3995  0.2000
Sm  0.6005  0.6005  0.8000

14.
A plane-wave DFT calculation with PBE was carried out for crystalline Nd2Sm5 at its relaxed geometry.

Results
Energy of formation from the pure elements (eV/atom): 0.13
M_tot (μB per formula unit): 0.00
N(E_F) (states/eV per atom): 2.1481
Symmetry: No. 166
DFT total energy (eV/atom): -4.6033

a = 8.9837 Å, b = 8.9837 Å, c = 8.9837 Å
α = 37.45°, β = 37.45°, γ = 37.45°
Element x y z (fractional)
Nd  0.1357  0.1357  0.1357
Nd  0.8643  0.8643  0.8643
Sm  0.0000  0.0000  0.0000
Sm  0.2727  0.2727  0.2727
Sm  0.4148  0.4148  0.4148
Sm  0.5852  0.5852  0.5852
Sm  0.7273  0.7273  0.7273

15.
A plane-wave DFT calculation with PBE was carried out for crystalline Nd3Sm4 at its relaxed geometry.

Results
Energy of formation from the pure elements (eV/atom): 0.02
M_tot (μB per formula unit): 0.00
N(E_F) (states/eV per atom): 1.4312
Symmetry: No. 139
DFT total energy (eV/atom): -4.7243

a = 18.2723 Å, b = 18.2723 Å, c = 18.2723 Å
α = 168.52°, β = 168.52°, γ = 16.26°
Element x y z (fractional)
Nd  0.0000  0.0000  0.0000
Nd  0.2863  0.2863  0.0000
Nd  0.7137  0.7137  0.0000
Sm  0.1421  0.1421  0.0000
Sm  0.4285  0.4285  0.0000
Sm  0.5715  0.5715  0.0000
Sm  0.8579  0.8579  0.0000

16.
A plane-wave DFT calculation with PBE was carried out for crystalline Nd3Sm7 at its relaxed geometry.

Results
Energy of formation from the pure elements (eV/atom): 0.01
M_tot (μB per formula unit): 0.00
N(E_F) (states/eV per atom): 1.4777
Symmetry: No. 12
DFT total energy (eV/atom): -4.7212

a = 9.6468 Å, b = 9.6468 Å, c = 7.2890 Å
α = 100.94°, β = 100.94°, γ = 30.93°
Element x y z (fractional)
Nd  0.0000  0.0000  0.0000
Nd  0.1997  0.1997  0.6000
Nd  0.8003  0.8003  0.4000
Sm  0.0000  0.0000  0.5000
Sm  0.2000  0.2000  0.0999
Sm  0.3999  0.3999  0.1998
Sm  0.4003  0.4003  0.7005
Sm  0.5997  0.5997  0.2995
Sm  0.6001  0.6001  0.8002
Sm  0.8000  0.8000  0.9001

17.
A plane-wave DFT calculation with PBE was carried out for crystalline Nd3Sm at its relaxed geometry.

Results
Energy of formation from the pure elements (eV/atom): 0.03
M_tot (μB per formula unit): 0.00
N(E_F) (states/eV per atom): 1.7455
Symmetry: No. 194
DFT total energy (eV/atom): -4.7259

a = 7.4258 Å, b = 7.4258 Å, c = 5.9152 Å
α = 90.00°, β = 90.00°, γ = 120.00°
Element x y z (fractional)
Nd  0.1668  0.3336  0.2500
Nd  0.1668  0.8332  0.2500
Nd  0.3336  0.1668  0.7500
Nd  0.6664  0.8332  0.2500
Nd  0.8332  0.1668  0.7500
Nd  0.8332  0.6664  0.7500
Sm  0.3333  0.6667  0.7500
Sm  0.6667  0.3333  0.2500

18.
A plane-wave DFT calculation with PBE was carried out for crystalline Nd3Sm4 at its relaxed geometry.

Results
Energy of formation from the pure elements (eV/atom): 0.01
M_tot (μB per formula unit): 0.00
N(E_F) (states/eV per atom): 1.4852
Symmetry: No. 12
DFT total energy (eV/atom): -4.7270

a = 6.3236 Å, b = 6.3236 Å, c = 8.1722 Å
α = 97.38°, β = 97.38°, γ = 48.20°
Element x y z (fractional)
Nd  0.0000  0.0000  0.0000
Nd  0.2860  0.2860  0.8559
Nd  0.7140  0.7140  0.1441
Sm  0.1426  0.1426  0.4292
Sm  0.4283  0.4283  0.2875
Sm  0.5717  0.5717  0.7125
Sm  0.8574  0.8574  0.5708

19.
A plane-wave DFT calculation with PBE was carried out for crystalline NdSm5 at its relaxed geometry.

Results
Energy of formation from the pure elements (eV/atom): 0.01
M_tot (μB per formula unit): 0.00
N(E_F) (states/eV per atom): 1.4513
Symmetry: No. 65
DFT total energy (eV/atom): -4.7129

a = 8.1413 Å, b = 8.1413 Å, c = 5.1399 Å
α = 90.00°, β = 90.00°, γ = 143.21°
Element x y z (fractional)
Nd  0.0000  0.0000  0.0000
Sm  0.1669  0.8331  0.5000
Sm  0.3329  0.6671  0.0000
Sm  0.5000  0.5000  0.5000
Sm  0.6671  0.3329  0.0000
Sm  0.8331  0.1669  0.5000

20.
A plane-wave DFT calculation with PBE was carried out for crystalline Nd5Sm6 at its relaxed geometry.

Results
Energy of formation from the pure elements (eV/atom): 0.11
M_tot (μB per formula unit): 0.00
N(E_F) (states/eV per atom): 1.4856
Symmetry: No. 71
DFT total energy (eV/atom): -4.6338

a = 9.5369 Å, b = 9.5369 Å, c = 9.5369 Å
α = 145.20°, β = 128.24°, γ = 63.89°
Element x y z (fractional)
Nd  0.0000  0.0000  0.0000
Nd  0.1609  0.6609  0.5000
Nd  0.2999  0.2999  0.0000
Nd  0.7001  0.7001  0.0000
Nd  0.8391  0.3391  0.5000
Sm  0.1588  0.8636  0.2952
Sm  0.2946  0.5000  0.7946
Sm  0.4316  0.1364  0.2952
Sm  0.5684  0.8636  0.7048
Sm  0.7054  0.5000  0.2054
Sm  0.8412  0.1364  0.7048